(1)
Here is an optimized crystal structure of BaNa9Ca2 from Alexandria. Energies are from PBE-GGA.

Unit cell a=7.0715 b=7.0715 c=11.7379 alpha=72.47 beta=72.47 gamma=60.00
Closest atoms and distances in Å follow each position.
Fractional positions:
Na: 0.5905 0.5905 0.7396  7 Na 3.36-3.62
Na: 0.4095 0.9207 0.2604  7 Na 3.36-3.62
Na: 0.5905 0.0793 0.7396  7 Na 3.36-3.62
Na: 0.6654 0.6654 0.0038  6 Na 3.51-3.53
Na: 0.3346 0.3346 0.9962  6 Na 3.51-3.53
Na: 0.4095 0.4095 0.2604  7 Na 3.36-3.62
Na: 0.9207 0.4095 0.2604  7 Na 3.36-3.62
Na: 0.0793 0.5905 0.7396  7 Na 3.36-3.62
Na: 0.5000 0.5000 0.5000  6 Na 3.36
Ca: 0.8556 0.8556 0.4331  12 Na 3.92-4.15, 3 Ca 4.34
Ca: 0.1444 0.1444 0.5669  12 Na 3.92-4.15, 3 Ca 4.34
Ba: 0.0000 0.0000 0.0000  18 Na 4.08-4.55

* SG: No. 166
* calculated formation energy: 0.040 eV per atom
* final energy: -1.44 eV per atom

---

(2)
Here is an optimized crystal structure of Ba2Na2Ca from Alexandria. Energies are from PBE-GGA.

Unit cell a=4.6052 b=4.6052 c=12.4837 alpha=79.37 beta=79.37 gamma=90.00
Closest atoms and distances in Å follow each position.
Fractional positions:
Ba: 0.6073 0.6073 0.7854  4 Na 4.14, 4 Ca 4.16, 4 Ba 4.61
Ba: 0.3927 0.3927 0.2146  4 Na 4.14, 4 Ca 4.16, 4 Ba 4.61
Na: 0.2500 0.7500 0.5000  4 Na 3.26
Na: 0.7500 0.2500 0.5000  4 Na 3.26
Ca: 0.0000 0.0000 0.0000  8 Ba 4.16, 4 Ca 4.61

* energy above the most stable polymorph in this dataset: 40 kJ/mol of formula units
* SG: No. 139
* calculated formation energy: 0.106 eV per atom
* final energy: -1.59 eV per atom

---

(3)
Here is an optimized crystal structure of Ba3NaCa2 from Alexandria. Energies are from PBE-GGA.

Unit cell a=4.7156 b=4.7156 c=14.1683 alpha=90.00 beta=90.00 gamma=90.00
Closest atoms and distances in Å follow each position.
Fractional positions:
Na: 0.5000 0.5000 0.5000  8 Ba 4.06
Ba: 0.0000 0.0000 0.3365  4 Na 4.06, 4 Ca 4.16
Ba: 0.0000 0.0000 0.0000  8 Ca 4.04
Ba: 0.0000 0.0000 0.6635  4 Na 4.06, 4 Ca 4.16
Ca: 0.5000 0.5000 0.8387  8 Ba 4.04-4.16
Ca: 0.5000 0.5000 0.1613  8 Ba 4.04-4.16

* SG: No. 123
* calculated formation energy: 0.026 eV per atom
* final energy: -1.82 eV per atom